No. 1
## Pr2Y5Ho (PBE)

Data for Pr2Y5Ho after structural relaxation.

Results
**Polymorph energy (0 for the lowest one)**: 0 meV/atom
**Crystal system**: orthorhombic
**Energy relative to the elements**: 0.18 eV per formula unit

Cell lengths 7.2037, 14.4071, 5.0880 Å; angles 90.00, 90.00, 90.00 degrees
Last column: nearest neighbours and their distance in Å.
Space group Pbam (No. 55)
One atom of each set of equivalent atoms:
Pr 0.2486 0.1246 0.0000 x4  10 Y 3.59-3.62, 2 Ho 3.59
Y 0.0000 0.5000 0.5000 x2  6 Y 3.60-3.61, 4 Pr 3.60, 2 Ho 3.60
Y 0.0009 0.7506 0.5000 x4  1 Ho 3.59, 7 Y 3.60-3.61, 4 Pr 3.60-3.61
Y 0.2498 0.3755 0.0000 x4  4 Pr 3.59-3.62, 6 Y 3.60-3.61, 2 Ho 3.60
Ho 0.0000 0.0000 0.5000 x2  4 Pr 3.59, 8 Y 3.59-3.60

No. 2
## AcPrPdPt (PBE)

Data for AcPrPdPt after structural relaxation.

Results
**Polymorph energy (0 for the lowest one)**: 0 meV/atom
**Crystal system**: orthorhombic
**Energy relative to the elements**: -3.86 eV per formula unit

Cell lengths 4.6514, 4.0527, 11.2742 Å; angles 90.00, 90.00, 90.00 degrees
Last column: nearest neighbours and their distance in Å.
Space group Amm2 (No. 38)
One atom of each set of equivalent atoms:
Ac 0.0000 0.0000 0.0000 x2  3 Pt 3.10-3.25, 4 Pd 3.14
Pr 0.5000 0.0000 0.7292 x2  4 Pt 3.13, 3 Pd 3.16-3.20
Pd 0.5000 0.0000 0.4488 x2  2 Pt 3.04, 4 Ac 3.14, 3 Pr 3.16-3.20
Pt 0.0000 0.0000 0.2745 x2  2 Pd 3.04, 3 Ac 3.10-3.25, 4 Pr 3.13

No. 3
## Mg2AgBr (PBE)

Data for Mg2AgBr after structural relaxation.

Results
**Polymorph energy (0 for the lowest one)**: 171 meV/atom
**Crystal system**: trigonal
**Formation energy without anion corrections**: -284 meV/atom

Cell lengths 3.5492, 3.5492, 26.8416 Å; angles 90.00, 90.00, 120.00 degrees
Last column: nearest neighbours and their distance in Å.
Space group R3m (No. 160, hexagonal axes)
One atom of each set of equivalent atoms:
Mg 0.0000 0.0000 0.0000 x3  3 Ag 2.80
Mg 0.0000 0.0000 0.2408 x3  3 Br 2.68
Ag 0.0000 0.0000 0.7380 x3  3 Mg 2.80
Br 0.0000 0.0000 0.5097 x3  3 Mg 2.68

No. 4
## Ac2PmCd4 (PBE)

Data for Ac2PmCd4 after structural relaxation.

Results
**Crystal system**: tetragonal
**Energy relative to the elements**: -1.17 eV per formula unit

Cell lengths 5.6522, 5.6522, 14.5533 Å; angles 90.00, 90.00, 90.00 degrees
Last column: nearest neighbours and their distance in Å.
Space group I4/mmm (No. 139)
One atom of each set of equivalent atoms:
Ac 0.0000 0.0000 0.2321 x4  8 Cd 3.38-3.69
Pm 0.0000 0.0000 0.5000 x2  8 Cd 3.21
Cd 0.0000 0.5000 0.1048 x8  1 Cd 3.05, 2 Pm 3.21, 2 Ac 3.38